# 1
First-principles (GGA-PBE) data for a relaxed Mg2Cd2Hg crystal, as listed in the Alexandria database.

Lattice parameters (Å, degrees): 7.704 7.704 3.975 90.00 90.00 90.00
Positions (direct):
Mg  0.150  0.350  0.000
Cd  0.352  0.148  0.500
Cd  0.852  0.352  0.500
Mg  0.850  0.650  0.000
Mg  0.350  0.850  0.000
Cd  0.648  0.852  0.500
Hg  0.000  0.000  0.000
Cd  0.148  0.648  0.500
Hg  0.500  0.500  0.000
Mg  0.650  0.150  0.000

space-group type: P4/mbm, No. 127
energy above the lowest structure with this stoichiometry: 0.086 eV per atom

=====

# 2
First-principles (GGA-PBE) data for a relaxed Mg2Cd15Hg2 crystal, as listed in the Alexandria database.

Lattice parameters (Å, degrees): 7.897 7.897 7.897 77.40 77.40 77.40
Positions (direct):
Cd  0.500  0.000  0.000
Cd  0.381  0.842  0.381
Cd  0.000  0.301  0.699
Cd  0.842  0.381  0.381
Cd  0.158  0.619  0.619
Cd  0.301  0.699  0.000
Cd  0.000  0.000  0.500
Hg  0.899  0.899  0.899
Mg  0.304  0.304  0.304
Cd  0.000  0.699  0.301
Cd  0.699  0.301  0.000
Cd  0.381  0.381  0.842
Cd  0.301  0.000  0.699
Mg  0.696  0.696  0.696
Cd  0.619  0.619  0.158
Cd  0.619  0.158  0.619
Hg  0.101  0.101  0.101
Cd  0.000  0.500  0.000
Cd  0.699  0.000  0.301

space-group type: R-3m, No. 166

=====

# 3
First-principles (GGA-PBE) data for a relaxed MgCd5Hg8 crystal, as listed in the Alexandria database.

Lattice parameters (Å, degrees): 7.681 7.681 7.681 109.42 109.58 109.42
Positions (direct):
Hg  0.445  0.588  0.198
Hg  0.982  0.101  0.734
Hg  0.633  0.899  0.880
Cd  0.737  0.619  0.597
Cd  0.500  0.000  0.500
Cd  0.882  0.859  0.263
Cd  0.978  0.381  0.118
Mg  0.250  0.500  0.750
Hg  0.609  0.412  0.856
Hg  0.802  0.247  0.391
Hg  0.120  0.752  0.018
Hg  0.266  0.248  0.367
Cd  0.403  0.141  0.022
Hg  0.144  0.753  0.555

space-group type: I-4, No. 82

=====

# 4
First-principles (GGA-PBE) data for a relaxed Mg15Cd4Hg crystal, as listed in the Alexandria database.

Lattice parameters (Å, degrees): 4.513 4.513 21.593 90.00 90.00 90.00
Positions (direct):
Mg  0.500  0.000  0.298
Mg  0.500  0.000  0.500
Mg  0.500  0.500  0.399
Mg  0.000  0.500  0.098
Cd  0.000  0.000  0.601
Mg  0.500  0.000  0.902
Cd  0.000  0.000  0.802
Mg  0.000  0.500  0.500
Cd  0.000  0.000  0.399
Hg  0.000  0.000  0.000
Mg  0.500  0.500  0.198
Mg  0.000  0.500  0.298
Mg  0.500  0.000  0.098
Mg  0.000  0.500  0.902
Mg  0.500  0.500  0.000
Cd  0.000  0.000  0.198
Mg  0.500  0.000  0.702
Mg  0.000  0.500  0.702
Mg  0.500  0.500  0.802
Mg  0.500  0.500  0.601

space-group type: P4/mmm, No. 123

=====

# 5
First-principles (GGA-PBE) data for a relaxed Mg2Cd2Hg7 crystal, as listed in the Alexandria database.

Lattice parameters (Å, degrees): 5.692 7.579 7.579 90.30 66.43 66.43
Positions (direct):
Hg  0.893  0.393  0.393
Hg  0.326  0.924  0.430
Hg  0.500  0.000  0.000
Hg  0.326  0.430  0.924
Mg  0.495  0.724  0.724
Cd  0.000  0.149  0.851
Mg  0.505  0.276  0.276
Hg  0.674  0.570  0.076
Hg  0.674  0.076  0.570
Cd  0.000  0.851  0.149
Hg  0.107  0.607  0.607

space-group type: C2/m, No. 12
energy above the lowest structure with this stoichiometry: 0.033 eV per atom

=====

# 6
First-principles (GGA-PBE) data for a relaxed Mg6CdHg2 crystal, as listed in the Alexandria database.

Lattice parameters (Å, degrees): 3.381 8.178 8.177 120.00 90.00 90.00
Positions (direct):
Mg  0.500  0.375  0.375
Cd  0.500  0.000  0.000
Mg  0.000  0.291  0.000
Hg  0.000  0.333  0.667
Mg  0.000  0.709  0.709
Mg  0.500  0.625  0.000
Hg  0.000  0.667  0.333
Mg  0.000  0.000  0.291
Mg  0.500  0.000  0.625

space-group type: P-62m, No. 189
energy above the lowest structure with this stoichiometry: 0.000 eV per atom

=====

# 7
First-principles (GGA-PBE) data for a relaxed Mg5Cd3Hg3 crystal, as listed in the Alexandria database.

Lattice parameters (Å, degrees): 3.372 9.712 9.712 120.00 90.00 90.00
Positions (direct):
Mg  0.500  0.182  0.182
Mg  0.500  0.667  0.333
Hg  0.000  0.585  0.000
Cd  0.500  0.338  0.000
Mg  0.500  0.000  0.818
Mg  0.500  0.333  0.667
Cd  0.500  0.000  0.338
Hg  0.000  0.415  0.415
Hg  0.000  0.000  0.585
Cd  0.500  0.662  0.662
Mg  0.500  0.818  0.000

space-group type: P-62m, No. 189

=====

# 8
First-principles (GGA-PBE) data for a relaxed Mg4CdHg crystal, as listed in the Alexandria database.

Lattice parameters (Å, degrees): 3.378 8.067 5.039 90.00 90.00 90.00
Positions (direct):
Mg  0.000  0.198  0.500
Mg  0.500  0.309  0.000
Cd  0.000  0.000  0.000
Mg  0.500  0.691  0.000
Hg  0.500  0.500  0.500
Mg  0.000  0.802  0.500

space-group type: Pmmm, No. 47
energy above the lowest structure with this stoichiometry: 0.000 eV per atom

=====

# 9
First-principles (GGA-PBE) data for a relaxed Mg3Cd5Hg crystal, as listed in the Alexandria database.

Lattice parameters (Å, degrees): 8.839 8.839 8.434 121.60 121.60 90.00
Positions (direct):
Cd  0.666  0.166  0.734
Mg  0.750  0.750  0.500
Mg  0.889  0.611  0.000
Cd  0.334  0.834  0.266
Mg  0.611  0.111  0.000
Cd  0.834  0.932  0.266
Mg  0.389  0.889  0.000
Mg  0.111  0.389  0.000
Cd  0.000  0.000  0.000
Cd  0.568  0.666  0.734
Cd  0.932  0.432  0.266
Hg  0.750  0.250  0.500
Hg  0.250  0.750  0.500
Cd  0.500  0.500  0.000
Cd  0.432  0.334  0.266
Cd  0.166  0.068  0.734
Cd  0.068  0.568  0.734
Mg  0.250  0.250  0.500

space-group type: I4/mcm, No. 140

=====

# 10
First-principles (GGA-PBE) data for a relaxed MgCd7Hg3 crystal, as listed in the Alexandria database.

Lattice parameters (Å, degrees): 3.417 12.132 12.908 90.00 90.00 98.10
Positions (direct):
Cd  0.203  0.407  0.440
Hg  0.082  0.164  0.507
Hg  0.082  0.164  0.993
Cd  0.385  0.769  0.750
Cd  0.493  0.986  0.632
Hg  0.918  0.836  0.007
Cd  0.507  0.014  0.368
Cd  0.507  0.014  0.132
Cd  0.615  0.231  0.250
Cd  0.671  0.341  0.867
Cd  0.329  0.659  0.133
Mg  0.919  0.838  0.250
Hg  0.918  0.836  0.493
Cd  0.671  0.341  0.633
Hg  0.264  0.528  0.750
Cd  0.203  0.407  0.060
Cd  0.329  0.659  0.367
Cd  0.493  0.986  0.868
Hg  0.736  0.472  0.250
Cd  0.797  0.593  0.560
Cd  0.797  0.593  0.940
Mg  0.081  0.162  0.750

space-group type: Cmcm, No. 63
energy above the lowest structure with this stoichiometry: 0.009 eV per atom

=====

# 11
First-principles (GGA-PBE) data for a relaxed MgCd8Hg5 crystal, as listed in the Alexandria database.

Lattice parameters (Å, degrees): 7.644 7.644 7.644 109.15 110.12 109.15
Positions (direct):
Hg  0.500  0.000  0.500
Cd  0.127  0.746  0.044
Cd  0.120  0.744  0.535
Cd  0.956  0.083  0.702
Cd  0.624  0.415  0.880
Hg  0.002  0.369  0.122
Mg  0.250  0.500  0.750
Hg  0.878  0.880  0.247
Hg  0.753  0.631  0.633
Cd  0.791  0.256  0.376
Cd  0.298  0.254  0.381
Cd  0.465  0.585  0.209
Cd  0.619  0.917  0.873
Hg  0.367  0.120  0.998

space-group type: I-4, No. 82

=====

# 12
First-principles (GGA-PBE) data for a relaxed MgCd2Hg crystal, as listed in the Alexandria database.

Lattice parameters (Å, degrees): 5.149 5.149 3.674 90.00 90.00 110.05
Positions (direct):
Cd  0.000  0.000  0.000
Hg  0.500  0.000  0.500
Mg  0.000  0.500  0.500
Cd  0.500  0.500  0.000

space-group type: Cmmm, No. 65
energy above the lowest structure with this stoichiometry: 0.019 eV per atom

=====

# 13
First-principles (GGA-PBE) data for a relaxed MgCd2Hg crystal, as listed in the Alexandria database.

Lattice parameters (Å, degrees): 5.405 5.405 5.405 130.68 130.68 72.32
Positions (direct):
Mg  0.750  0.250  0.500
Cd  0.000  0.000  0.000
Cd  0.250  0.750  0.500
Hg  0.500  0.500  0.000

space-group type: I-4m2, No. 119
energy above the lowest structure with this stoichiometry: 0.006 eV per atom

=====

# 14
First-principles (GGA-PBE) data for a relaxed Mg9Cd4Hg11 crystal, as listed in the Alexandria database.

Lattice parameters (Å, degrees): 3.532 12.498 12.498 104.85 90.00 90.00
Positions (direct):
Hg  0.000  0.946  0.597
Hg  0.000  0.205  0.205
Mg  0.500  0.153  0.610
Mg  0.500  0.009  0.202
Mg  0.500  0.500  0.500
Hg  0.000  0.403  0.054
Hg  0.000  0.054  0.403
Hg  0.000  0.795  0.795
Hg  0.000  0.369  0.631
Cd  0.500  0.415  0.258
Hg  0.000  0.631  0.369
Mg  0.500  0.202  0.009
Cd  0.500  0.585  0.742
Mg  0.500  0.847  0.390
Cd  0.500  0.258  0.415
Hg  0.000  0.000  0.000
Hg  0.000  0.597  0.946
Hg  0.000  0.191  0.809
Mg  0.500  0.390  0.847
Mg  0.500  0.798  0.991
Mg  0.500  0.610  0.153
Cd  0.500  0.742  0.585
Hg  0.000  0.809  0.191
Mg  0.500  0.991  0.798

space-group type: Cmmm, No. 65

=====

# 15
First-principles (GGA-PBE) data for a relaxed Mg2CdHg crystal, as listed in the Alexandria database.

Lattice parameters (Å, degrees): 6.749 6.749 6.749 55.43 152.66 132.77
Positions (direct):
Hg  0.000  0.500  0.500
Mg  0.000  0.743  0.743
Cd  0.000  0.000  0.000
Mg  0.000  0.257  0.257

space-group type: Immm, No. 71
energy above the lowest structure with this stoichiometry: 0.274 eV per atom

=====

# 16
First-principles (GGA-PBE) data for a relaxed MgCd7Hg4 crystal, as listed in the Alexandria database.

Lattice parameters (Å, degrees): 5.533 9.272 6.859 83.98 66.22 72.64
Positions (direct):
Mg  0.000  0.000  0.000
Cd  0.355  0.553  0.738
Cd  0.074  0.665  0.187
Hg  0.265  0.326  0.143
Hg  0.420  0.772  0.388
Cd  0.926  0.335  0.813
Cd  0.791  0.905  0.514
Cd  0.500  0.000  0.000
Cd  0.209  0.095  0.486
Hg  0.735  0.674  0.857
Cd  0.645  0.447  0.262
Hg  0.580  0.228  0.612

space-group type: C2/m, No. 12

=====

# 17
First-principles (GGA-PBE) data for a relaxed MgCd3Hg crystal, as listed in the Alexandria database.

Lattice parameters (Å, degrees): 4.387 4.445 11.858 90.00 79.34 90.00
Positions (direct):
Hg  0.974  0.250  0.701
Mg  0.175  0.250  0.298
Cd  0.574  0.250  0.500
Cd  0.874  0.750  0.900
Hg  0.675  0.750  0.299
Cd  0.074  0.750  0.500
Cd  0.275  0.750  0.098
Cd  0.774  0.250  0.100
Cd  0.373  0.250  0.902
Mg  0.473  0.750  0.702

space-group type: Cmcm, No. 63
energy above the lowest structure with this stoichiometry: 0.000 eV per atom

=====

# 18
First-principles (GGA-PBE) data for a relaxed Mg2CdHg3 crystal, as listed in the Alexandria database.

Lattice parameters (Å, degrees): 3.325 7.461 11.941 90.00 98.00 90.00
Positions (direct):
Hg  0.747  0.750  0.494
Hg  0.566  0.545  0.133
Hg  0.434  0.455  0.867
Hg  0.566  0.955  0.133
Mg  0.149  0.750  0.297
Mg  0.022  0.250  0.044
Mg  0.978  0.750  0.956
Mg  0.851  0.250  0.703
Cd  0.350  0.750  0.700
Cd  0.650  0.250  0.300
Hg  0.434  0.045  0.867
Hg  0.253  0.250  0.506

space-group type: Cmcm, No. 63
energy above the lowest structure with this stoichiometry: 0.034 eV per atom

=====

# 19
First-principles (GGA-PBE) data for a relaxed MgCd8Hg6 crystal, as listed in the Alexandria database.

Lattice parameters (Å, degrees): 8.320 8.320 8.008 58.70 58.70 60.00
Positions (direct):
Hg  0.600  0.963  0.188
Cd  0.139  0.446  0.655
Cd  0.446  0.761  0.655
Hg  0.400  0.037  0.812
Hg  0.248  0.600  0.188
Cd  0.655  0.655  0.035
Mg  0.000  0.000  0.000
Hg  0.037  0.752  0.812
Cd  0.761  0.139  0.655
Cd  0.345  0.345  0.965
Cd  0.554  0.239  0.345
Hg  0.752  0.400  0.812
Cd  0.239  0.861  0.345
Cd  0.861  0.554  0.345
Hg  0.963  0.248  0.188

space-group type: R-3, No. 148
energy above the lowest structure with this stoichiometry: 0.007 eV per atom

=====

# 20
First-principles (GGA-PBE) data for a relaxed Mg3Cd4Hg crystal, as listed in the Alexandria database.

Lattice parameters (Å, degrees): 3.219 4.665 12.604 81.64 80.54 89.83
Positions (direct):
Cd  0.777  0.272  0.446
Mg  0.677  0.173  0.700
Mg  0.500  0.500  0.000
Cd  0.223  0.728  0.554
Cd  0.879  0.364  0.207
Mg  0.323  0.827  0.300
Cd  0.121  0.636  0.793
Hg  0.000  0.000  0.000

space-group type: P-1, No. 2

=====

VASP energy for the records above, in order: -0.0798 -0.0633 -0.0450 -0.1087 -0.0494 -0.1021 -0.0752 -0.0997 -0.0742 -0.0590 -0.0528 -0.0729 -0.0738 -0.0756 -0.0731 -0.0519 -0.0726 -0.0674 -0.0511 -0.0838 Ry/atom
Formation enthalpy at 0 K for the records above, in order: -21 61 1 -85 -24 -157 34 -91 64 7 26 -60 -73 -140 108 61 -60 -82 19 -47 meV/atom